First-principles (GGA-PBE) data for an optimized crystal structure of Sc2BiW, as listed in the Alexandria database.

Computed properties:
**Theoretical density**: 8.287 Mg/m³
**E_tot**: -7.0016 eV/atom
**Density of states at the Fermi level**: 17.36 states/eV/cell

Structure (extended XYZ):
```
12
Lattice="3.298 0.000 0.000 -1.649 2.856 0.000 0.000 0.000 30.805" Properties=species:S:1:pos:R:3 pbc="T T T"
Sc 0.000 0.000 3.052
Sc 0.000 0.000 27.753
Sc 0.000 1.904 17.484
Sc 0.000 1.904 23.589
Sc 1.649 0.952 7.216
Sc 1.649 0.952 13.320
Bi 0.000 0.000 0.000
Bi 0.000 1.904 20.536
Bi 1.649 0.952 10.268
W 0.000 0.000 15.402
W 0.000 1.904 5.134
W 1.649 0.952 25.671
```

First-principles (GGA-PBE) data for an optimized crystal structure of Sc3BiW, as listed in the Alexandria database.

Computed properties:
**Theoretical density**: 6.606 Mg/m³
**E_tot**: -6.7731 eV/atom
**Density of states at the Fermi level**: 5.02 states/eV/cell

Structure (extended XYZ):
```
5
Lattice="5.100 0.000 0.000 0.000 5.100 0.000 0.000 0.000 5.100" Properties=species:S:1:pos:R:3 pbc="T T T"
Sc 0.000 0.000 2.550
Sc 0.000 2.550 0.000
Sc 2.550 0.000 0.000
Bi 2.550 2.550 2.550
W 0.000 0.000 0.000
```